Cs2KPtI6: optimized geometry, GGA-PBE.

Computed properties:
Crystal system: tetragonal
Theoretical density in g/cm3: 4.52
Formation energy without anion corrections in kcal/mol of atoms: -20.636
SG: No. 139
Polymorph energy (0 for the lowest one) in meV per atom: 19
D(E_F) in states/eV per cell: 4.96

a = 8.680 Å, b = 8.680 Å, c = 8.680 Å
α = 119.91°, β = 119.91°, γ = 90.16°
Sites, in units of the cell vectors:
Cs  0.250  0.750  0.500
Cs  0.750  0.250  0.500
K  0.000  0.000  0.000
Pt  0.500  0.500  0.000
I  0.275  0.275  0.550
I  0.275  0.725  0.000
I  0.276  0.276  0.000
I  0.724  0.724  0.000
I  0.725  0.275  0.000
I  0.725  0.725  0.450

CsK2PtI: optimized geometry, GGA-PBE.

Computed properties:
Crystal system: tetragonal
Theoretical density in g/cm3: 3.57
Formation energy without anion corrections in kcal/mol of atoms: -12.464
SG: No. 123

a = 6.121 Å, b = 6.121 Å, c = 6.617 Å
α = 90.00°, β = 90.00°, γ = 90.00°
Sites, in units of the cell vectors:
Cs  0.000  0.000  0.000
K  0.000  0.500  0.500
K  0.500  0.000  0.500
Pt  0.000  0.000  0.500
I  0.500  0.500  0.000

Cs2KPtI6: optimized geometry, GGA-PBE.

Computed properties:
Crystal system: trigonal
Theoretical density in g/cm3: 4.29
Formation energy without anion corrections in kcal/mol of atoms: -21.076
SG: No. 166
Polymorph energy (0 for the lowest one) in meV per atom: 0
D(E_F) in states/eV per cell: 9.05

a = 17.356 Å, b = 17.356 Å, c = 17.356 Å
α = 27.39°, β = 27.39°, γ = 27.39°
Sites, in units of the cell vectors:
Cs  0.136  0.136  0.136
Cs  0.305  0.305  0.305
Cs  0.695  0.695  0.695
Cs  0.864  0.864  0.864
K  0.416  0.416  0.416
K  0.584  0.584  0.584
Pt  0.000  0.000  0.000
Pt  0.500  0.500  0.500
I  0.146  0.630  0.630
I  0.191  0.191  0.714
I  0.191  0.714  0.191
I  0.286  0.809  0.809
I  0.370  0.370  0.854
I  0.370  0.854  0.370
I  0.630  0.146  0.630
I  0.630  0.630  0.146
I  0.714  0.191  0.191
I  0.809  0.286  0.809
I  0.809  0.809  0.286
I  0.854  0.370  0.370

Cs3KPu2I9: optimized geometry, GGA-PBE.

Computed properties:
Crystal system: trigonal
Theoretical density in g/cm3: 4.32
Formation energy without anion corrections in kcal/mol of atoms: -30.487
SG: No. 164
D(E_F) in states/eV per cell: 37.58

a = 9.065 Å, b = 9.065 Å, c = 11.173 Å
α = 90.00°, β = 90.00°, γ = 120.00°
Sites, in units of the cell vectors:
Cs  0.000  0.000  0.000
Cs  0.333  0.667  0.629
Cs  0.667  0.333  0.371
K  0.000  0.000  0.500
Pu  0.333  0.667  0.161
Pu  0.667  0.333  0.839
I  0.000  0.500  0.000
I  0.172  0.344  0.321
I  0.172  0.828  0.321
I  0.344  0.172  0.679
I  0.500  0.000  0.000
I  0.500  0.500  0.000
I  0.656  0.828  0.321
I  0.828  0.172  0.679
I  0.828  0.656  0.679